No. 1
Here is an optimized crystal structure of Cr2CoHAu from Alexandria. Energies are from PBE.

Summary:
Crystal system: tetragonal
Calculated total energy in eV/atom: -6.40
SG: No. 123
Total magnetization in Bohr magnetons per cell: 2.8

The structure in CIF format:
```
data_Cr2CoHAu
_chemical_formula_sum 'Cr2 Co1 H1 Au1'
_cell_length_a 3.742
_cell_length_b 3.742
_cell_length_c 3.830
_cell_angle_alpha 90.00
_cell_angle_beta 90.00
_cell_angle_gamma 90.00
_space_group_name_H-M_alt 'P 1'
_space_group_IT_number 1
_space_group_name_Hall 'P 1'
loop_
_atom_site_label
_atom_site_type_symbol
_atom_site_fract_x
_atom_site_fract_y
_atom_site_fract_z
Cr1 Cr 0.000 0.500 0.000
Cr2 Cr 0.500 0.000 0.000
Co1 Co 0.000 0.000 0.500
H1 H 0.000 0.000 0.000
Au1 Au 0.500 0.500 0.500
```

=====

No. 2
Here is an optimized crystal structure of Ag2TePb from Alexandria. Energies are from PBE.

Summary:
Crystal system: cubic
Excess energy over the best structure of this formula in the dataset in meV/atom: 137
Uncorrected formation energy in eV/atom: 0.1794
Calculated total energy in eV/atom: -2.96
SG: No. 216
Total magnetization in Bohr magnetons per cell: 0.0

The structure in CIF format:
```
data_Ag2TePb
_chemical_formula_sum 'Ag2 Te1 Pb1'
_cell_length_a 5.247
_cell_length_b 5.247
_cell_length_c 5.247
_cell_angle_alpha 60.00
_cell_angle_beta 60.00
_cell_angle_gamma 60.00
_space_group_name_H-M_alt 'P 1'
_space_group_IT_number 1
_space_group_name_Hall 'P 1'
loop_
_atom_site_label
_atom_site_type_symbol
_atom_site_fract_x
_atom_site_fract_y
_atom_site_fract_z
Ag1 Ag 0.000 0.000 0.000
Ag2 Ag 0.250 0.250 0.250
Te1 Te 0.750 0.750 0.750
Pb1 Pb 0.500 0.500 0.500
```

=====

No. 3
Here is an optimized crystal structure of Sm3DyPd2 from Alexandria. Energies are from PBE.

Summary:
Crystal system: orthorhombic
Calculated total energy in eV/atom: -5.42
SG: No. 26
Energy of formation in eV per atom: -0.566
Total magnetization in Bohr magnetons per cell: 0.0

The structure in CIF format:
```
data_Sm3DyPd2
_chemical_formula_sum 'Sm6 Dy2 Pd4'
_cell_length_a 4.956
_cell_length_b 8.948
_cell_length_c 7.200
_cell_angle_alpha 90.00
_cell_angle_beta 90.00
_cell_angle_gamma 90.00
_space_group_name_H-M_alt 'P 1'
_space_group_IT_number 1
_space_group_name_Hall 'P 1'
loop_
_atom_site_label
_atom_site_type_symbol
_atom_site_fract_x
_atom_site_fract_y
_atom_site_fract_z
Sm1 Sm 0.000 0.083 0.000
Sm2 Sm 0.000 0.336 0.369
Sm3 Sm 0.000 0.664 0.869
Sm4 Sm 0.000 0.917 0.500
Sm5 Sm 0.500 0.166 0.658
Sm6 Sm 0.500 0.834 0.158
Dy1 Dy 0.500 0.420 0.025
Dy2 Dy 0.500 0.580 0.525
Pd1 Pd 0.000 0.346 0.775
Pd2 Pd 0.000 0.654 0.275
Pd3 Pd 0.500 0.161 0.251
Pd4 Pd 0.500 0.839 0.751
```

=====

No. 4
Here is an optimized crystal structure of HoPaSnAu from Alexandria. Energies are from PBE.

Summary:
Crystal system: cubic
Calculated total energy in eV/atom: -5.67
SG: No. 216
Energy of formation in eV per atom: -0.334
Total magnetization in Bohr magnetons per cell: 2.4

The structure in CIF format:
```
data_HoPaSnAu
_chemical_formula_sum 'Ho1 Pa1 Sn1 Au1'
_cell_length_a 5.231
_cell_length_b 5.231
_cell_length_c 5.231
_cell_angle_alpha 60.00
_cell_angle_beta 60.00
_cell_angle_gamma 60.00
_space_group_name_H-M_alt 'P 1'
_space_group_IT_number 1
_space_group_name_Hall 'P 1'
loop_
_atom_site_label
_atom_site_type_symbol
_atom_site_fract_x
_atom_site_fract_y
_atom_site_fract_z
Ho1 Ho 0.000 0.000 0.000
Pa1 Pa 0.500 0.500 0.500
Sn1 Sn 0.250 0.250 0.250
Au1 Au 0.750 0.750 0.750
```

=====

No. 5
Here is an optimized crystal structure of PuTl2Br8 from Alexandria. Energies are from PBE.

Summary:
Crystal system: monoclinic
Uncorrected formation energy in eV/atom: -0.8286
Calculated total energy in eV/atom: -3.78
SG: No. 12
Total magnetization in Bohr magnetons per cell: 4.0

The structure in CIF format:
```
data_PuTl2Br8
_chemical_formula_sum 'Pu1 Tl2 Br8'
_cell_length_a 7.709
_cell_length_b 7.709
_cell_length_c 8.497
_cell_angle_alpha 90.83
_cell_angle_beta 90.83
_cell_angle_gamma 61.39
_space_group_name_H-M_alt 'P 1'
_space_group_IT_number 1
_space_group_name_Hall 'P 1'
loop_
_atom_site_label
_atom_site_type_symbol
_atom_site_fract_x
_atom_site_fract_y
_atom_site_fract_z
Pu1 Pu 0.000 0.000 0.000
Tl1 Tl 0.111 0.111 0.544
Tl2 Tl 0.889 0.889 0.456
Br1 Br 0.167 0.167 0.194
Br2 Br 0.170 0.676 0.198
Br3 Br 0.307 0.307 0.590
Br4 Br 0.324 0.830 0.802
Br5 Br 0.676 0.170 0.198
Br6 Br 0.693 0.693 0.410
Br7 Br 0.830 0.324 0.802
Br8 Br 0.833 0.833 0.806
```

=====

No. 6
Here is an optimized crystal structure of SrYAl from Alexandria. Energies are from PBE.

Summary:
Crystal system: monoclinic
Excess energy over the best structure of this formula in the dataset in meV/atom: 162
Calculated total energy in eV/atom: -4.01
SG: No. 8
Energy of formation in eV per atom: -0.049
Total magnetization in Bohr magnetons per cell: 0.0

The structure in CIF format:
```
data_SrYAl
_chemical_formula_sum 'Sr2 Y2 Al2'
_cell_length_a 5.967
_cell_length_b 5.967
_cell_length_c 9.314
_cell_angle_alpha 101.31
_cell_angle_beta 101.31
_cell_angle_gamma 38.71
_space_group_name_H-M_alt 'P 1'
_space_group_IT_number 1
_space_group_name_Hall 'P 1'
loop_
_atom_site_label
_atom_site_type_symbol
_atom_site_fract_x
_atom_site_fract_y
_atom_site_fract_z
Sr1 Sr 0.000 0.000 0.000
Sr2 Sr 0.689 0.689 0.737
Y1 Y 0.298 0.298 0.176
Y2 Y 0.948 0.948 0.452
Al1 Al 0.228 0.228 0.468
Al2 Al 0.608 0.608 0.298
```